(1)
First-principles (meta-GGA SCAN) data for a PBEsol-optimized structure of YAg2Se, as listed in the Alexandria database.

The structure in POSCAR format:
```
YAg2Se
1.0
3.656 0.000 0.000
0.000 3.656 0.000
0.000 0.000 6.361
Y Ag Se
1 2 1
direct
0.000 0.000 0.000 Y
0.000 0.000 0.463 Ag
0.500 0.500 0.316 Ag
0.500 0.500 0.820 Se
```

Summary:
* raw formation energy: -2.76 eV per formula unit
* symmetry: P4mm, No. 99
* VASP energy: -28.35 eV/atom

(2)
First-principles (meta-GGA SCAN) data for a PBEsol-optimized structure of Ti5Se4, as listed in the Alexandria database.

The structure in POSCAR format:
```
Ti5Se4
1.0
-4.795 4.795 1.713
4.795 -4.795 1.713
4.795 4.795 -1.713
Ti Se
5 4
direct
0.000 0.000 0.000 Ti
0.306 0.371 0.677 Ti
0.371 0.694 0.065 Ti
0.629 0.306 0.935 Ti
0.694 0.629 0.323 Ti
0.056 0.274 0.330 Se
0.274 0.944 0.218 Se
0.726 0.056 0.782 Se
0.944 0.726 0.670 Se
```

Summary:
* raw formation energy: -10.39 eV per formula unit
* symmetry: I4/m, No. 87
* VASP energy: -18.98 eV/atom

(3)
First-principles (meta-GGA SCAN) data for a PBEsol-optimized structure of Cr3AgGe, as listed in the Alexandria database.

The structure in POSCAR format:
```
Cr3AgGe
1.0
4.628 0.000 0.000
0.000 4.628 0.000
0.000 0.000 4.628
Cr Ag Ge
3 1 1
direct
0.000 0.000 0.500 Cr
0.000 0.500 0.000 Cr
0.500 0.000 0.000 Cr
0.500 0.500 0.500 Ag
0.000 0.000 0.000 Ge
```

Summary:
* symmetry: Pm-3m, No. 221
* VASP energy: -20.39 eV/atom
* E_form: 3.7 eV/f.u.
* polymorph energy (0 for the lowest one): 0.0000 eV/atom

(4)
First-principles (meta-GGA SCAN) data for a PBEsol-optimized structure of Zr2ZnCd, as listed in the Alexandria database.

The structure in POSCAR format:
```
Zr2ZnCd
1.0
5.845 0.000 0.000
0.000 8.208 0.000
0.000 0.000 3.204
Zr Zn Cd
4 2 2
direct
0.250 0.250 0.000 Zr
0.250 0.750 0.000 Zr
0.750 0.250 0.000 Zr
0.750 0.750 0.000 Zr
0.000 0.000 0.500 Zn
0.500 0.500 0.500 Zn
0.000 0.500 0.500 Cd
0.500 0.000 0.500 Cd
```

Summary:
* symmetry: Cmmm, No. 65
* VASP energy: -26.56 eV/atom
* E_form: -0.9 eV/f.u.
* polymorph energy (0 for the lowest one): 0.0206 eV/atom

(5)
First-principles (meta-GGA SCAN) data for a PBEsol-optimized structure of K2ZnIr, as listed in the Alexandria database.

The structure in POSCAR format:
```
K2ZnIr
1.0
4.240 0.000 0.000
-2.120 3.672 0.000
0.000 0.000 26.661
K Zn Ir
6 3 3
direct
0.000 0.000 0.000 K
0.000 0.000 0.166 K
0.333 0.667 0.667 K
0.333 0.667 0.833 K
0.667 0.333 0.333 K
0.667 0.333 0.499 K
0.000 0.000 0.750 Zn
0.333 0.667 0.416 Zn
0.667 0.333 0.083 Zn
0.000 0.000 0.416 Ir
0.333 0.667 0.083 Ir
0.667 0.333 0.750 Ir
```

Summary:
* symmetry: R3m, No. 160
* VASP energy: -25.08 eV/atom
* E_form: 0.9 eV/f.u.

(6)
First-principles (meta-GGA SCAN) data for a PBEsol-optimized structure of CuSbPb, as listed in the Alexandria database.

The structure in POSCAR format:
```
CuSbPb
1.0
6.854 0.000 0.000
0.000 6.854 0.000
0.000 0.000 6.854
Cu Sb Pb
4 4 4
direct
0.000 0.000 0.000 Cu
0.000 0.500 0.500 Cu
0.500 0.000 0.500 Cu
0.500 0.500 0.000 Cu
0.250 0.250 0.250 Sb
0.250 0.750 0.750 Sb
0.750 0.250 0.750 Sb
0.750 0.750 0.250 Sb
0.000 0.000 0.500 Pb
0.000 0.500 0.000 Pb
0.500 0.000 0.000 Pb
0.500 0.500 0.500 Pb
```

Summary:
* raw formation energy: 1.14 eV per formula unit
* symmetry: F-43m, No. 216
* VASP energy: -42.37 eV/atom
* polymorph energy (0 for the lowest one): 0.3125 eV/atom